[1]
VASP calculation (GGA-PBEsol) on a relaxed Ag2Se crystal.

M_tot in μB/f.u.: 0.00
Formation energy without anion corrections in eV/atom: 0.08
D(E_F) in states/eV/atom: 0.2912
Crystal system: tetragonal
SG: P4/mmm (123)
Theoretical density in kg/m³: 7947
Energy in eV per atom: -3.42

POSCAR file:
```
Ag2Se
1.0
-0.8313 2.1096 2.9516
-3.6755 0.7512 -1.5720
-1.4867 -3.2659 1.9155
Se Ag
1 2
Direct
0.0000 0.0000 0.0000
0.5000 0.5000 0.0000
0.5000 0.0000 0.5000
```

[2]
VASP calculation (GGA-PBEsol) on a relaxed KAg2H2 crystal.

M_tot in μB/f.u.: 0.00
D(E_F) in states/eV/atom: 0.3034
Crystal system: tetragonal
SG: I4/mmm (139)
Theoretical density in kg/m³: 4834
Energy in eV per atom: -2.66

POSCAR file:
```
KAg2H2
1.0
3.8783 0.0000 0.0000
0.0000 3.8783 0.0000
-1.9392 -1.9392 5.8660
K H Ag
1 2 2
Direct
0.0000 0.0000 0.0000
0.2500 0.7500 0.5000
0.7500 0.2500 0.5000
0.7205 0.7205 0.4410
0.2795 0.2795 0.5590
```

[3]
VASP calculation (GGA-PBEsol) on a relaxed Ag2PW crystal.

M_tot in μB/f.u.: 0.00
D(E_F) in states/eV/atom: 0.6801
Crystal system: tetragonal
SG: P4/mmm (123)
Theoretical density in kg/m³: 11595
Calculated formation energy in meV per atom: 540
Energy in eV per atom: -6.01

POSCAR file:
```
Ag2PW
1.0
3.6601 0.0000 0.0000
0.0000 3.6601 0.0000
0.0000 0.0000 4.6028
Ag P W
2 1 1
Direct
0.5000 0.0000 0.0000
0.0000 0.5000 0.0000
0.5000 0.5000 0.5000
0.0000 0.0000 0.5000
```

[4]
VASP calculation (GGA-PBEsol) on a relaxed KMgBr2 crystal.

M_tot in μB/f.u.: 0.73
Formation energy without anion corrections in eV/atom: -1.00
D(E_F) in states/eV/atom: 0.4865
Relative energy among the computed polymorphs in meV/atom: 108.5
Crystal system: tetragonal
SG: P4/mmm (123)
Theoretical density in kg/m³: 3313
Energy in eV per atom: -2.64

POSCAR file:
```
KMgBr2
1.0
3.8234 0.0000 0.0000
0.0000 3.8234 0.0000
0.0000 0.0000 7.6530
Mg Br K
1 2 1
Direct
0.5000 0.5000 0.5000
0.0000 0.0000 0.7374
0.0000 0.0000 0.2626
0.5000 0.5000 0.0000
```